Entry 1:
Ba2Sr7Ca, optimized geometry, DFT PBE-GGA; energy = -1.2998 eV per atom; space group = Fm-3m (225); size of the total moment = 6.031 μB per formula unit; formation energy = 0.46 eV/atom; energy above the lowest structure with this stoichiometry = 366 meV per atom
1.0
0.000 6.836 6.836
6.836 0.000 6.836
6.836 6.836 0.000
Ba Sr Ca
2 7 1
Direct
0.250 0.250 0.250
0.750 0.750 0.750
0.000 0.000 0.000
0.253 0.253 0.747
0.253 0.747 0.253
0.253 0.747 0.747
0.747 0.253 0.253
0.747 0.253 0.747
0.747 0.747 0.253
0.500 0.500 0.500

---

Entry 2:
Ba8Sr4Ca, optimized geometry, DFT PBE-GGA; energy = -1.5810 eV per atom; space group = R-3m (166); size of the total moment = 0.005 μB per formula unit; formation energy = 0.27 eV/atom
1.0
6.819 3.937 5.610
-6.819 3.937 5.610
0.000 -7.874 5.610
Ba Sr Ca
8 4 1
Direct
0.247 0.751 0.751
0.249 0.249 0.249
0.249 0.249 0.753
0.249 0.753 0.249
0.751 0.247 0.751
0.751 0.751 0.247
0.751 0.751 0.751
0.753 0.249 0.249
0.000 0.000 0.000
0.000 0.500 0.500
0.500 0.000 0.500
0.500 0.500 0.000
0.500 0.500 0.500

---

Entry 3:
Ba4Sr3Ca5, optimized geometry, DFT PBE-GGA; energy = -1.7472 eV per atom; space group = C2/m (12); size of the total moment = 0.001 μB per formula unit; formation energy = 0.15 eV/atom
1.0
9.267 -3.508 0.000
9.267 3.508 0.000
-5.693 0.000 9.898
Ba Sr Ca
4 3 5
Direct
0.080 0.080 0.424
0.199 0.199 0.875
0.801 0.801 0.125
0.920 0.920 0.576
0.233 0.233 0.266
0.500 0.500 0.000
0.767 0.767 0.734
0.000 0.000 0.000
0.328 0.328 0.643
0.448 0.448 0.299
0.552 0.552 0.701
0.672 0.672 0.357

---

Entry 4:
BaSr2Ca6, optimized geometry, DFT PBE-GGA; energy = -1.8994 eV per atom; space group = P4_2/mnm (136); size of the total moment = 0.000 μB per formula unit; formation energy = 0.02 eV/atom; energy above the lowest structure with this stoichiometry = 0 meV per atom
1.0
12.071 0.000 0.000
0.000 12.071 0.000
0.000 0.000 5.798
Ba Sr Ca
2 4 12
Direct
0.000 0.000 0.000
0.500 0.500 0.500
0.172 0.172 0.500
0.328 0.672 0.000
0.672 0.328 0.000
0.828 0.828 0.500
0.003 0.341 0.000
0.159 0.503 0.500
0.171 0.829 0.500
0.329 0.329 0.000
0.341 0.003 0.000
0.497 0.841 0.500
0.503 0.159 0.500
0.659 0.997 0.000
0.671 0.671 0.000
0.829 0.171 0.500
0.841 0.497 0.500
0.997 0.659 0.000

---

Entry 5:
BaSrCa, optimized geometry, DFT PBE-GGA; energy = -1.8410 eV per atom; space group = Fmm2 (42); size of the total moment = 0.000 μB per formula unit; formation energy = 0.03 eV/atom; energy above the lowest structure with this stoichiometry = 2 meV per atom
1.0
5.064 0.000 0.000
0.000 6.461 0.000
0.000 0.000 19.237
Ba Sr Ca
4 4 4
Direct
0.000 0.000 0.000
0.000 0.500 0.500
0.500 0.000 0.500
0.500 0.500 0.000
0.000 0.000 0.323
0.000 0.500 0.823
0.500 0.000 0.823
0.500 0.500 0.323
0.000 0.000 0.664
0.000 0.500 0.164
0.500 0.000 0.164
0.500 0.500 0.664

---

Entry 6:
Ba2Sr7Ca3, optimized geometry, DFT PBE-GGA; energy = -1.7318 eV per atom; space group = P2/m (10); size of the total moment = 0.000 μB per formula unit; formation energy = 0.07 eV/atom
1.0
7.248 0.000 0.000
0.000 4.144 0.000
-1.249 0.000 21.561
Ba Sr Ca
2 7 3
Direct
0.218 0.000 0.338
0.782 0.000 0.662
0.000 0.500 0.000
0.144 0.000 0.843
0.257 0.000 0.538
0.356 0.500 0.159
0.644 0.500 0.841
0.743 0.000 0.462
0.856 0.000 0.157
0.287 0.500 0.695
0.500 0.000 0.000
0.713 0.500 0.305